# 1
First-principles (PBE) data for a relaxed structure of NaHgBiPb2, as listed in the Alexandria database.

The energy relative to the elements comes out at -0.0535 eV per atom. For the density of states at the Fermi level, the calculation gives 6.3 states/eV per cell. The total energy is -2.637 eV per atom. For the volume, the calculation gives 33.94 A^3/atom.

The structure belongs to space group Cmcm (No. 63); the cell edges are 6.699, 15.164 and 6.681 Å and the angles 90.00°, 90.00° and 90.00°. The asymmetric unit holds Na at (0.000, 0.250, 0.250), Hg at (0.000, 0.146, 0.750), Bi at (0.000, 0.342, 0.750) and Pb at (0.244, 0.500, 0.000).

---

# 2
First-principles (PBE) data for a relaxed structure of CaHfTl2Co, as listed in the Alexandria database.

The energy relative to the elements comes out at 1.3036 eV per atom. For the density of states at the Fermi level, the calculation gives 5.4 states/eV per cell. The total energy is -3.455 eV per atom. For the volume, the calculation gives 26.01 A^3/atom.

The structure belongs to space group P4/mmm (No. 123); the cell edges are 5.494, 5.494 and 4.308 Å and the angles 90.00°, 90.00° and 90.00°. The asymmetric unit holds Ca at (0.000, 0.000, 0.000), Hf at (0.500, 0.500, 0.500), Tl at (0.000, 0.500, 0.000) and Co at (0.000, 0.000, 0.500).

---

# 3
First-principles (PBE) data for a relaxed structure of SbRu2, as listed in the Alexandria database.

For the density of states at the Fermi level, the calculation gives 35.6 states/eV per cell. The total energy is -7.045 eV per atom. For the volume, the calculation gives 17.26 A^3/atom.

The structure belongs to space group Fd-3m (No. 227, origin choice 2); the cell edges are 7.454, 7.454 and 7.454 Å and the angles 90.00°, 90.00° and 90.00°. The asymmetric unit holds Sb at (0.125, 0.125, 0.125) and Ru at (0.000, 0.000, 0.500).

---

# 4
First-principles (PBE) data for a relaxed structure of FeSb2HI, as listed in the Alexandria database.

For the density of states at the Fermi level, the calculation gives 2.8 states/eV per cell. Its energy above the most stable polymorph in this dataset is 0.0000 eV per atom. The total energy is -3.560 eV per atom. For the volume, the calculation gives 27.09 A^3/atom.

The structure belongs to space group P4/mmm (No. 123); the cell edges are 4.816, 4.816 and 5.840 Å and the angles 90.00°, 90.00° and 90.00°. The asymmetric unit holds Fe at (0.000, 0.000, 0.000), Sb at (0.000, 0.500, 0.000), H at (0.500, 0.500, 0.500) and I at (0.000, 0.000, 0.500).

---

# 5
First-principles (PBE) data for a relaxed structure of Ba3AlAg, as listed in the Alexandria database.

The energy relative to the elements comes out at -0.1378 eV per atom. For the density of states at the Fermi level, the calculation gives 12.1 states/eV per cell. Its energy above the most stable polymorph in this dataset is 0.0000 eV per atom. The total energy is -2.610 eV per atom. For the volume, the calculation gives 41.88 A^3/atom.

The structure belongs to space group P2_1/m (No. 11); the cell edges are 9.759, 4.681 and 9.907 Å and the angles 90.00°, 112.29° and 90.00°. The asymmetric unit holds Ba at (0.093, 0.250, 0.227), Ba at (0.310, 0.250, 0.926), Ba at (0.356, 0.750, 0.585), Al at (0.040, 0.250, 0.567) and Ag at (0.371, 0.750, 0.204).

---

# 6
First-principles (PBE) data for a relaxed structure of HoNi6P4, as listed in the Alexandria database.

The energy relative to the elements comes out at -0.6905 eV per atom. For the density of states at the Fermi level, the calculation gives 5.2 states/eV per cell. The total energy is -6.227 eV per atom. For the volume, the calculation gives 12.41 A^3/atom.

The structure belongs to space group P-6m2 (No. 187); the cell edges are 6.6060, 6.6060 and 3.6108 Å and the angles 90.00°, 90.00° and 120.00°. The asymmetric unit holds Ho at (0.0000, 0.0000, 0.0000), Ni at (0.2023, 0.4046, 0.5000), Ni at (0.5363, 0.0727, 0.0000), P at (0.3333, 0.6667, 0.0000) and P at (0.3782, 0.1891, 0.5000).

---

# 7
First-principles (PBE) data for a relaxed structure of AcNdTmAl, as listed in the Alexandria database.

The energy relative to the elements comes out at 0.0782 eV per atom. For the density of states at the Fermi level, the calculation gives 27.9 states/eV per cell. The total energy is -4.194 eV per atom. For the volume, the calculation gives 30.17 A^3/atom.

The structure belongs to space group F-43m (No. 216); the cell edges are 7.845, 7.845 and 7.845 Å and the angles 90.00°, 90.00° and 90.00°. The asymmetric unit holds Ac at (0.000, 0.000, 0.000), Nd at (0.250, 0.250, 0.250), Tm at (0.250, 0.250, 0.750) and Al at (0.000, 0.000, 0.500).

---

# 8
First-principles (PBE) data for a relaxed structure of PaPt6, as listed in the Alexandria database.

The energy relative to the elements comes out at -0.5894 eV per atom. For the density of states at the Fermi level, the calculation gives 21.3 states/eV per cell. The total energy is -7.124 eV per atom. For the volume, the calculation gives 17.80 A^3/atom.

The structure belongs to space group Pnma (No. 62); the cell edges are 9.593, 5.458 and 9.519 Å and the angles 90.00°, 90.00° and 90.00°. The asymmetric unit holds Pa at (0.216, 0.250, 0.050), Pt at (0.011, 0.750, 0.488), Pt at (0.033, 0.504, 0.755), Pt at (0.071, 0.750, 0.013), Pt at (0.212, 0.250, 0.335) and Pt at (0.220, 0.750, 0.263).

---

# 9
First-principles (PBE) data for a relaxed structure of TaP2Au, as listed in the Alexandria database.

The energy relative to the elements comes out at -0.1324 eV per atom. For the density of states at the Fermi level, the calculation gives 2.1 states/eV per cell. Its energy above the most stable polymorph in this dataset is 0.0779 eV per atom. The total energy is -6.620 eV per atom. For the volume, the calculation gives 16.18 A^3/atom.

The structure belongs to space group P4/mmm (No. 123); the cell edges are 3.287, 3.287 and 5.991 Å and the angles 90.00°, 90.00° and 90.00°. The asymmetric unit holds Ta at (0.000, 0.000, 0.000), P at (0.500, 0.500, 0.211) and Au at (0.000, 0.000, 0.500).

---

# 10
First-principles (PBE) data for a relaxed structure of Mn2CoPb, as listed in the Alexandria database.

The energy relative to the elements comes out at 0.4097 eV per atom. For the density of states at the Fermi level, the calculation gives 5.3 states/eV per cell. Its energy above the most stable polymorph in this dataset is 0.0942 eV per atom. The total energy is -6.879 eV per atom. For the volume, the calculation gives 15.78 A^3/atom.

The structure belongs to space group Cm (No. 8); the cell edges are 9.695, 3.367 and 4.312 Å and the angles 90.00°, 116.27° and 90.00°. The asymmetric unit holds Mn at (0.000, 0.000, 0.000), Mn at (0.233, 0.000, 0.734), Co at (0.212, 0.500, 0.212) and Pb at (0.464, 0.000, 0.464).

---

# 11
First-principles (PBE) data for a relaxed structure of AlAsN2, as listed in the Alexandria database.

For the density of states at the Fermi level, the calculation gives 1.4 states/eV per cell. Its energy above the most stable polymorph in this dataset is 0.0000 eV per atom. The total energy is -6.352 eV per atom. For the volume, the calculation gives 11.14 A^3/atom.

The structure belongs to space group R-3m (No. 166, hexagonal axes); the cell edges are 3.0165, 3.0165 and 16.9703 Å and the angles 90.00°, 90.00° and 120.00°. The asymmetric unit holds Al at (0.0000, 0.0000, 0.0000), As at (0.0000, 0.0000, 0.5000) and N at (0.0000, 0.0000, 0.3922).

---

# 12
First-principles (PBE) data for a relaxed structure of Rb3Np3IrS8, as listed in the Alexandria database.

For the density of states at the Fermi level, the calculation gives 56.7 states/eV per cell. The total energy is -6.710 eV per atom. For the volume, the calculation gives 28.01 A^3/atom.

The structure belongs to space group C2/m (No. 12); the cell edges are 13.562, 7.834 and 9.112 Å and the angles 90.00°, 119.77° and 90.00°. The asymmetric unit holds Rb at (0.000, 0.000, 0.000), Rb at (0.250, 0.250, 0.000), Np at (0.000, 0.500, 0.500), Np at (0.250, 0.250, 0.500), Ir at (0.000, 0.000, 0.500), S at (0.017, 0.228, 0.323), S at (0.211, 0.000, 0.677) and S at (0.232, 0.500, 0.695).

---

# 13
First-principles (PBE) data for a relaxed structure of Be2OsPt, as listed in the Alexandria database.

The energy relative to the elements comes out at -0.1595 eV per atom. For the density of states at the Fermi level, the calculation gives 4.6 states/eV per cell. The total energy is -6.340 eV per atom. For the volume, the calculation gives 11.99 A^3/atom.

The structure belongs to space group Cmmm (No. 65); the cell edges are 3.076, 4.429 and 7.041 Å and the angles 90.00°, 90.00° and 90.00°. The asymmetric unit holds Be at (0.000, 0.000, 0.249), Os at (0.000, 0.500, 0.000) and Pt at (0.000, 0.500, 0.500).

---

# 14
First-principles (PBE) data for a relaxed structure of KYHg3, as listed in the Alexandria database.

The energy relative to the elements comes out at 0.5159 eV per atom. For the density of states at the Fermi level, the calculation gives 7.0 states/eV per cell. Its energy above the most stable polymorph in this dataset is 0.5182 eV per atom. The total energy is -1.177 eV per atom. For the volume, the calculation gives 36.23 A^3/atom.

The structure belongs to space group Pm-3m (No. 221); the cell edges are 5.658, 5.658 and 5.658 Å and the angles 90.00°, 90.00° and 90.00°. The asymmetric unit holds K at (0.000, 0.000, 0.000), Y at (0.500, 0.500, 0.500) and Hg at (0.000, 0.000, 0.500).

---

# 15
First-principles (PBE) data for a relaxed structure of TbMg2Pb, as listed in the Alexandria database.

The energy relative to the elements comes out at -0.3105 eV per atom. For the density of states at the Fermi level, the calculation gives 1.2 states/eV per cell. Its energy above the most stable polymorph in this dataset is 0.0000 eV per atom. The total energy is -3.192 eV per atom. For the volume, the calculation gives 25.17 A^3/atom.

The structure belongs to space group P4/mmm (No. 123); the cell edges are 4.572, 4.572 and 4.816 Å and the angles 90.00°, 90.00° and 90.00°. The asymmetric unit holds Tb at (0.000, 0.000, 0.000), Mg at (0.000, 0.500, 0.500) and Pb at (0.500, 0.500, 0.000).

---

# 16
First-principles (PBE) data for a relaxed structure of LiIn2SiS, as listed in the Alexandria database.

For the density of states at the Fermi level, the calculation gives 1.4 states/eV per cell. The total energy is -3.240 eV per atom. For the volume, the calculation gives 24.92 A^3/atom.

The structure belongs to space group P4/mmm (No. 123); the cell edges are 5.138, 5.138 and 4.720 Å and the angles 90.00°, 90.00° and 90.00°. The asymmetric unit holds Li at (0.000, 0.000, 0.000), In at (0.000, 0.500, 0.500), Si at (0.000, 0.000, 0.500) and S at (0.500, 0.500, 0.000).

---

# 17
First-principles (PBE) data for a relaxed structure of YLuGa, as listed in the Alexandria database.

The energy relative to the elements comes out at -0.2666 eV per atom. For the density of states at the Fermi level, the calculation gives 16.7 states/eV per cell. Its energy above the most stable polymorph in this dataset is 0.1224 eV per atom. The total energy is -4.937 eV per atom. For the volume, the calculation gives 28.07 A^3/atom.

The structure belongs to space group F-43m (No. 216); the cell edges are 6.958, 6.958 and 6.958 Å and the angles 90.00°, 90.00° and 90.00°. The asymmetric unit holds Y at (0.000, 0.000, 0.000), Lu at (0.000, 0.000, 0.500) and Ga at (0.250, 0.250, 0.750).